Material: Y2AgPd2
Method: DFT, PBE-GGA
State: relaxed

Summary:
Offset from the most stable computed form (kcal/mol of atoms): 0.00
Calculated formation energy (eV per formula unit): -3.76

Cell and atoms, written as POSCAR:
```
Y2AgPd2
1.0
7.613 0.000 0.000
0.000 7.613 0.000
0.000 0.000 3.741
Y Ag Pd
4 2 4
direct
0.172 0.328 0.000
0.328 0.828 0.000
0.672 0.172 0.000
0.828 0.672 0.000
0.000 0.000 0.500
0.500 0.500 0.500
0.130 0.630 0.500
0.370 0.130 0.500
0.630 0.870 0.500
0.870 0.370 0.500
```